[1]
Eu2ZnH | the Alexandria database | PBE-GGA | relaxed; E above lowest polymorph = 0.47 eV/f.u.
1.0
3.431 0.000 0.000
0.000 3.431 0.000
0.000 0.000 7.547
Eu Zn H
2 1 1
direct
0.000 0.000 0.227 Eu
0.000 0.000 0.773 Eu
0.500 0.500 0.500 Zn
0.500 0.500 0.000 H

[2]
Eu2ZnH | the Alexandria database | PBE-GGA | relaxed; E above lowest polymorph = 0.00 eV/f.u.
1.0
3.849 0.000 0.000
1.924 3.333 0.000
1.924 1.111 7.436
Eu Zn H
2 1 1
direct
0.268 0.268 0.197 Eu
0.732 0.732 0.803 Eu
0.500 0.500 0.500 Zn
0.000 0.000 0.000 H

[3]
Eu3ZnH | the Alexandria database | PBE-GGA | relaxed; final energy = -7.286 eV/atom
1.0
-4.835 -1.454 -0.020
0.976 -3.298 3.696
-1.077 3.536 3.440
Eu Zn H
3 1 1
direct
0.500 0.000 0.000 Eu
0.000 0.500 0.000 Eu
0.000 0.000 0.500 Eu
0.500 0.500 0.500 Zn
0.000 0.000 0.000 H

[4]
EuZr2H | the Alexandria database | PBE-GGA | relaxed; final energy = -7.551 eV/atom
1.0
-2.927 -1.305 -0.603
-0.323 -2.287 -2.302
0.485 -7.512 5.083
Eu Zr H
1 2 1
direct
0.000 0.000 0.000 Eu
0.118 0.118 0.646 Zr
0.882 0.882 0.354 Zr
0.500 0.500 0.500 H

[5]
EuZrH2 | the Alexandria database | PBE-GGA | relaxed; final energy = -6.666 eV/atom
1.0
3.375 0.000 0.000
1.688 2.923 0.000
1.688 0.974 5.795
Eu H Zr
1 2 1
direct
0.500 0.500 0.500 Eu
0.725 0.725 0.825 H
0.275 0.275 0.175 H
0.000 0.000 0.000 Zr

[6]
Eu2ZrH | the Alexandria database | PBE-GGA | relaxed; final energy = -7.914 eV/atom
1.0
3.357 0.000 0.000
1.679 2.907 0.000
1.679 0.969 9.649
Eu Zr H
2 1 1
direct
0.888 0.888 0.337 Eu
0.112 0.112 0.663 Eu
0.000 0.000 0.000 Zr
0.500 0.500 0.500 H